(1)
VASP calculation (PBE) on an optimized crystal structure of Pm6GaIr2Cl3.

Cell lengths 19.4384, 4.0848, 8.7664 Å; angles 90.00, 107.19, 90.00 degrees
Space group C2/m (No. 12)
Asymmetric unit:
1 Pm 0.0177 0.0000 0.2535 (multiplicity 4)
2 Pm 0.1582 0.5000 0.1143 (multiplicity 4)
3 Pm 0.1808 0.5000 0.5691 (multiplicity 4)
4 Ga 0.0000 0.5000 0.0000 (multiplicity 2)
5 Ir 0.1677 0.0000 0.3396 (multiplicity 4)
6 Cl 0.0000 0.5000 0.5000 (multiplicity 2)
7 Cl 0.1613 0.0000 0.8400 (multiplicity 4)

Summary:
Formation energy without anion corrections (kJ/mol of formula units): -1302

***

(2)
VASP calculation (PBE) on an optimized crystal structure of Na2Zn6Ag9.

Cell lengths 5.7267, 5.7267, 12.7112 Å; angles 90.00, 90.00, 120.00 degrees
Space group P6/mmm (No. 191)
Asymmetric unit:
1 Na 0.0000 0.0000 0.1646 (multiplicity 2)
2 Zn 0.3333 0.6667 0.1657 (multiplicity 4)
3 Zn 0.3333 0.6667 0.5000 (multiplicity 2)
4 Ag 0.0000 0.5000 0.0000 (multiplicity 3)
5 Ag 0.0000 0.5000 0.3322 (multiplicity 6)

Summary:
Formation energy from the elements (meV/atom): 47

***

(3)
VASP calculation (PBE) on an optimized crystal structure of Ba2Sb4IrRh3.

Cell lengths 4.6639, 4.6639, 10.8557 Å; angles 90.00, 90.00, 90.00 degrees
Space group P-4m2 (No. 115)
Asymmetric unit:
1 Ba 0.0000 0.5000 0.2486 (multiplicity 2)
2 Sb 0.0000 0.0000 0.0000 (multiplicity 1)
3 Sb 0.0000 0.5000 0.6251 (multiplicity 2)
4 Sb 0.5000 0.5000 0.0000 (multiplicity 1)
5 Ir 0.0000 0.0000 0.5000 (multiplicity 1)
6 Rh 0.0000 0.5000 0.8771 (multiplicity 2)
7 Rh 0.5000 0.5000 0.5000 (multiplicity 1)

Summary:
Formation energy without anion corrections (kJ/mol of formula units): -621

***

Copy entry 2 word for word.
VASP calculation (PBE) on an optimized crystal structure of Na2Zn6Ag9.

Cell lengths 5.7267, 5.7267, 12.7112 Å; angles 90.00, 90.00, 120.00 degrees
Space group P6/mmm (No. 191)
Asymmetric unit:
1 Na 0.0000 0.0000 0.1646 (multiplicity 2)
2 Zn 0.3333 0.6667 0.1657 (multiplicity 4)
3 Zn 0.3333 0.6667 0.5000 (multiplicity 2)
4 Ag 0.0000 0.5000 0.0000 (multiplicity 3)
5 Ag 0.0000 0.5000 0.3322 (multiplicity 6)

Summary:
Formation energy from the elements (meV/atom): 47

***

Question: Which formula does entry 1 have?
Answer: Pm6GaIr2Cl3